KFe2Os | SCAN | single point on PBEsol structure

```
data_KFe2Os
_chemical_formula_sum 'K1 Fe2 Os1'
_cell_length_a 2.5758
_cell_length_b 4.9466
_cell_length_c 5.7186
_cell_angle_alpha 115.63
_cell_angle_beta 103.02
_cell_angle_gamma 90.00
_symmetry_space_group_name_H-M 'P 1'
_symmetry_Int_Tables_number 1
_symmetry_space_group_name_Hall 'P 1'
loop_
_atom_site_label
_atom_site_type_symbol
_atom_site_fract_x
_atom_site_fract_y
_atom_site_fract_z
_atom_site_occupancy
Fe1 Fe 0.9946 0.9946 0.9892 1
Fe2 Fe 0.2884 0.7884 0.5767 1
K1 K 0.5043 0.5043 0.0087 1
Os1 Os 0.7127 0.2127 0.4254 1
```

Summary:
Calculated formation energy (eV per atom): 1.03
Space-group type: Imm2
ρ (Mg/m³): 8.9